VASP calculation (SCAN) on a PBEsol-optimized structure of BaTl5.

a b c (Å): 5.390 6.268 6.268
angles (deg): 120.00 90.00 90.00
Positions (direct):
Tl 0.000 0.377 0.377
Tl 0.000 0.623 0.000
Tl 0.000 0.000 0.623
Tl 0.500 0.333 0.667
Tl 0.500 0.667 0.333
Ba 0.500 0.000 0.000

Computed properties:
**Total moment**: 0.000 μB per cell
**Theoretical density**: 10.497 Mg/m³
**Relative energy among the computed polymorphs**: 0.009 eV/atom

---

VASP calculation (SCAN) on a PBEsol-optimized structure of BeAlZn.

a b c (Å): 3.960 3.960 3.960
angles (deg): 60.00 60.00 60.00
Positions (direct):
Be 0.500 0.500 0.500
Zn 0.250 0.250 0.250
Al 0.000 0.000 0.000

Computed properties:
**Total moment**: 0.002 μB per cell
**Theoretical density**: 3.834 Mg/m³
**Relative energy among the computed polymorphs**: 0.055 eV/atom

---

VASP calculation (SCAN) on a PBEsol-optimized structure of LiCoP3O9.

a b c (Å): 5.021 11.826 13.012
angles (deg): 90.00 90.00 90.00
Positions (direct):
Li 0.969 0.011 0.750
Li 0.969 0.489 0.250
Li 0.031 0.989 0.250
Li 0.031 0.511 0.750
Co 0.000 0.000 0.500
Co 0.000 0.000 0.000
Co 0.000 0.500 0.000
Co 0.000 0.500 0.500
P 0.490 0.084 0.864
P 0.490 0.416 0.136
P 0.510 0.916 0.364
P 0.510 0.916 0.136
P 0.510 0.584 0.636
P 0.251 0.750 0.500
P 0.749 0.250 0.000
P 0.749 0.250 0.500
P 0.510 0.584 0.864
P 0.490 0.416 0.364
P 0.251 0.750 0.000
P 0.490 0.084 0.636
O 0.320 0.495 0.900
O 0.680 0.995 0.600
O 0.898 0.154 0.452
O 0.898 0.154 0.048
O 0.102 0.654 0.048
O 0.320 0.005 0.400
O 0.587 0.382 0.250
O 0.804 0.940 0.137
O 0.536 0.203 0.582
O 0.804 0.560 0.863
O 0.898 0.346 0.548
O 0.587 0.118 0.750
O 0.464 0.703 0.582
O 0.102 0.846 0.548
O 0.196 0.440 0.363
O 0.102 0.654 0.452
O 0.804 0.940 0.363
O 0.196 0.060 0.637
O 0.464 0.797 0.082
O 0.196 0.060 0.863
O 0.102 0.846 0.952
O 0.464 0.703 0.918
O 0.680 0.505 0.400
O 0.413 0.618 0.750
O 0.320 0.495 0.600
O 0.898 0.346 0.952
O 0.804 0.560 0.637
O 0.536 0.203 0.918
O 0.680 0.505 0.100
O 0.196 0.440 0.137
O 0.464 0.797 0.418
O 0.536 0.297 0.418
O 0.536 0.297 0.082
O 0.680 0.995 0.900
O 0.413 0.882 0.250
O 0.320 0.005 0.100

Computed properties:
**Total moment**: 12.000 μB per cell
**Theoretical density**: 2.603 Mg/m³
**Relative energy among the computed polymorphs**: 0.050 eV/atom
**E_form (uncorrected)**: -2.26 eV per atom

---

VASP calculation (SCAN) on a PBEsol-optimized structure of Ta4Mo3.

a b c (Å): 2.817 6.910 6.927
angles (deg): 117.85 96.82 98.09
Positions (direct):
Mo 0.933 0.712 0.571
Mo 0.500 0.000 0.000
Mo 0.067 0.288 0.429
Ta 0.635 0.576 0.853
Ta 0.209 0.861 0.287
Ta 0.791 0.139 0.713
Ta 0.365 0.424 0.147

Computed properties:
**Total moment**: 0.000 μB per cell
**Theoretical density**: 14.559 Mg/m³
**Relative energy among the computed polymorphs**: 0.043 eV/atom

---

VASP calculation (SCAN) on a PBEsol-optimized structure of Ca2ZnHg.

a b c (Å): 3.664 3.664 7.329
angles (deg): 90.00 90.00 90.00
Positions (direct):
Zn 0.500 0.500 0.000
Ca 0.000 0.000 0.245
Ca 0.000 0.000 0.755
Hg 0.500 0.500 0.500

Computed properties:
**Total moment**: 0.000 μB per cell
**Theoretical density**: 5.840 Mg/m³
**Relative energy among the computed polymorphs**: 0.007 eV/atom

---

VASP calculation (SCAN) on a PBEsol-optimized structure of CaSiAs2.

a b c (Å): 3.764 4.332 6.106
angles (deg): 107.70 90.00 90.00
Positions (direct):
As 0.000 0.821 0.959
As 0.500 0.480 0.334
Si 0.500 0.656 0.727
Ca 0.000 0.043 0.479

Computed properties:
**Total moment**: 0.000 μB per cell
**Theoretical density**: 3.816 Mg/m³
**E_form (uncorrected)**: -0.41 eV per atom

---

VASP calculation (SCAN) on a PBEsol-optimized structure of Cr2NiRh.

a b c (Å): 2.534 4.441 4.441
angles (deg): 111.63 90.00 90.00
Positions (direct):
Cr 0.000 0.500 0.000
Cr 0.000 0.000 0.500
Rh 0.500 0.500 0.500
Ni 0.500 0.000 0.000

Computed properties:
**Total moment**: 0.905 μB per cell
**Total DFT energy (no corrections)**: -21.64 eV per atom
**Theoretical density**: 9.493 Mg/m³

---

VASP calculation (SCAN) on a PBEsol-optimized structure of CaMgRh4.

a b c (Å): 5.187 5.187 5.187
angles (deg): 60.00 60.00 60.00
Positions (direct):
Ca 0.750 0.750 0.750
Mg 0.000 0.000 0.000
Rh 0.375 0.375 0.375
Rh 0.375 0.375 0.876
Rh 0.876 0.375 0.375
Rh 0.375 0.876 0.375

Computed properties:
**Total moment**: 0.002 μB per cell
**Total DFT energy (no corrections)**: -25.33 eV per atom
**Theoretical density**: 8.008 Mg/m³